[1]
# RbSeF (PBE, relaxed)
data_RbSeF
_cell_length_a 4.842
_cell_length_b 6.418
_cell_length_c 6.494
_cell_angle_alpha 105.21
_cell_angle_beta 110.16
_cell_angle_gamma 106.33
_space_group_name_H-M_alt 'P 1'
_space_group_IT_number 1
loop_
_space_group_symop_operation_xyz
'x,y,z'
loop_
_atom_site_label
_atom_site_type_symbol
_atom_site_fract_x
_atom_site_fract_y
_atom_site_fract_z
Rb1 Rb 0.000 0.000 0.000
Rb2 Rb 0.003 0.501 0.508
Se1 Se 0.431 0.632 0.120
Se2 Se 0.575 0.376 0.899
F1 F 0.368 0.979 0.733
F2 F 0.649 0.021 0.279
# distance to the lowest polymorph of the same formula: 0.156 eV/atom

[2]
# Rb2SeF (PBE, relaxed)
data_Rb2SeF
_cell_length_a 8.005
_cell_length_b 8.005
_cell_length_c 9.068
_cell_angle_alpha 90.00
_cell_angle_beta 90.00
_cell_angle_gamma 90.00
_space_group_name_H-M_alt 'I -4 2 d'
_space_group_IT_number 122
_space_group_name_Hall 'I -4 2bw'
loop_
_atom_site_label
_atom_site_type_symbol
_atom_site_fract_x
_atom_site_fract_y
_atom_site_fract_z
Rb1 Rb 0.170 0.250 0.125
Se1 Se 0.000 0.000 0.500
F1 F 0.000 0.000 0.000
# distance to the lowest polymorph of the same formula: 0.079 eV/atom
# D(E_F): 2.0 states/eV per cell

[3]
# Rb7Se2F2 (PBE, relaxed)
data_Rb7Se2F2
_cell_length_a 9.271
_cell_length_b 15.442
_cell_length_c 8.421
_cell_angle_alpha 90.00
_cell_angle_beta 90.00
_cell_angle_gamma 90.00
_space_group_name_H-M_alt 'C m m m'
_space_group_IT_number 65
_space_group_name_Hall '-C 2 2'
loop_
_atom_site_label
_atom_site_type_symbol
_atom_site_fract_x
_atom_site_fract_y
_atom_site_fract_z
Rb1 Rb 0.000 0.000 0.000
Rb2 Rb 0.000 0.500 0.232
Rb3 Rb 0.250 0.250 0.264
Se1 Se 0.000 0.327 0.500
F1 F 0.214 0.500 0.000
# D(E_F): 6.4 states/eV per cell

[4]
# Rb4SeF2 (PBE, relaxed)
data_Rb4SeF2
_cell_length_a 4.549
_cell_length_b 13.482
_cell_length_c 14.186
_cell_angle_alpha 90.00
_cell_angle_beta 90.00
_cell_angle_gamma 90.00
_space_group_name_H-M_alt 'C m c m'
_space_group_IT_number 63
_space_group_name_Hall '-C 2c 2'
loop_
_atom_site_label
_atom_site_type_symbol
_atom_site_fract_x
_atom_site_fract_y
_atom_site_fract_z
Rb1 Rb 0.000 0.000 0.000
Rb2 Rb 0.000 0.273 0.110
Rb3 Rb 0.000 0.433 0.750
Se1 Se 0.000 0.111 0.750
F1 F 0.000 0.368 0.559
# distance to the lowest polymorph of the same formula: 0.000 eV/atom

[5]
Here is an optimized crystal structure of Rb2SeF5 from Alexandria. Energies are from PBE.

Geometry as CIF:
```
data_Rb2SeF5
_cell_length_a 6.284
_cell_length_b 6.284
_cell_length_c 8.564
_cell_angle_alpha 90.00
_cell_angle_beta 90.00
_cell_angle_gamma 90.00
_space_group_name_H-M_alt 'I 4 m m'
_space_group_IT_number 107
_space_group_name_Hall 'I 4 -2'
loop_
_atom_site_label
_atom_site_type_symbol
_atom_site_fract_x
_atom_site_fract_y
_atom_site_fract_z
Rb1 Rb 0.000 0.500 0.000
Se1 Se 0.000 0.000 0.242
F1 F 0.000 0.000 0.502
F2 F 0.221 0.221 0.245
```

[6]
# Rb2SeF (PBE, relaxed)
data_Rb2SeF
_cell_length_a 7.937
_cell_length_b 7.937
_cell_length_c 7.937
_cell_angle_alpha 90.00
_cell_angle_beta 90.00
_cell_angle_gamma 90.00
_space_group_name_H-M_alt 'F m -3 m'
_space_group_IT_number 225
_space_group_name_Hall '-F 4 2 3'
loop_
_atom_site_label
_atom_site_type_symbol
_atom_site_fract_x
_atom_site_fract_y
_atom_site_fract_z
Rb1 Rb 0.250 0.250 0.250
Se1 Se 0.000 0.000 0.000
F1 F 0.000 0.000 0.500
# distance to the lowest polymorph of the same formula: 0.269 eV/atom
# D(E_F): 40.4 states/eV per cell

[7]
# RbSeF3 (PBE, relaxed)
data_RbSeF3
_cell_length_a 6.672
_cell_length_b 6.672
_cell_length_c 9.799
_cell_angle_alpha 90.00
_cell_angle_beta 90.00
_cell_angle_gamma 90.00
_space_group_name_H-M_alt 'I 4/m m m'
_space_group_IT_number 139
_space_group_name_Hall '-I 4 2'
loop_
_atom_site_label
_atom_site_type_symbol
_atom_site_fract_x
_atom_site_fract_y
_atom_site_fract_z
Rb1 Rb 0.000 0.500 0.250
Se1 Se 0.000 0.000 0.000
Se2 Se 0.000 0.000 0.500
F1 F 0.000 0.000 0.199
F2 F 0.211 0.211 0.500
# distance to the lowest polymorph of the same formula: 0.184 eV/atom
# D(E_F): 16.1 states/eV per cell

[8]
# RbSe2F2 (PBE, relaxed)
data_RbSe2F2
_cell_length_a 4.995
_cell_length_b 4.995
_cell_length_c 8.976
_cell_angle_alpha 90.00
_cell_angle_beta 90.00
_cell_angle_gamma 90.00
_space_group_name_H-M_alt 'I 4/m m m'
_space_group_IT_number 139
_space_group_name_Hall '-I 4 2'
loop_
_atom_site_label
_atom_site_type_symbol
_atom_site_fract_x
_atom_site_fract_y
_atom_site_fract_z
Rb1 Rb 0.000 0.000 0.000
Se1 Se 0.000 0.000 0.380
F1 F 0.000 0.500 0.250
# distance to the lowest polymorph of the same formula: 0.000 eV/atom
# D(E_F): 7.5 states/eV per cell

[9]
# Rb2SiSeF6 (PBE, relaxed)
data_Rb2SiSeF6
_cell_length_a 7.020
_cell_length_b 7.020
_cell_length_c 7.891
_cell_angle_alpha 90.00
_cell_angle_beta 90.00
_cell_angle_gamma 90.00
_space_group_name_H-M_alt 'I 4/m m m'
_space_group_IT_number 139
_space_group_name_Hall '-I 4 2'
loop_
_atom_site_label
_atom_site_type_symbol
_atom_site_fract_x
_atom_site_fract_y
_atom_site_fract_z
Rb1 Rb 0.000 0.500 0.250
Si1 Si 0.000 0.000 0.000
Se1 Se 0.000 0.000 0.500
F1 F 0.000 0.000 0.224
F2 F 0.171 0.171 0.000
# D(E_F): 0.0 states/eV per cell

[10]
# Rb2SnSeF6 (PBE, relaxed)
data_Rb2SnSeF6
_cell_length_a 6.711
_cell_length_b 6.711
_cell_length_c 10.345
_cell_angle_alpha 90.00
_cell_angle_beta 90.00
_cell_angle_gamma 90.00
_space_group_name_H-M_alt 'I 4/m m m'
_space_group_IT_number 139
_space_group_name_Hall '-I 4 2'
loop_
_atom_site_label
_atom_site_type_symbol
_atom_site_fract_x
_atom_site_fract_y
_atom_site_fract_z
Rb1 Rb 0.000 0.500 0.250
Sn1 Sn 0.000 0.000 0.000
Se1 Se 0.000 0.000 0.500
F1 F 0.000 0.000 0.194
F2 F 0.212 0.212 0.000
# D(E_F): 0.0 states/eV per cell

[11]
# RbSnSeF (PBE, relaxed)
data_RbSnSeF
_cell_length_a 11.385
_cell_length_b 3.968
_cell_length_c 5.561
_cell_angle_alpha 90.00
_cell_angle_beta 91.53
_cell_angle_gamma 90.00
_space_group_name_H-M_alt 'C 1 m 1'
_space_group_IT_number 8
loop_
_space_group_symop_operation_xyz
'x,y,z'
'x,-y,z'
'x+1/2,y+1/2,z'
'x+1/2,-y+1/2,z'
loop_
_atom_site_label
_atom_site_type_symbol
_atom_site_fract_x
_atom_site_fract_y
_atom_site_fract_z
Rb1 Rb 0.000 0.000 0.000
Sn1 Sn 0.213 0.500 0.513
Se1 Se 0.375 0.000 0.483
F1 F 0.165 0.500 0.140
# D(E_F): 0.0 states/eV per cell

[12]
# Rb2SnSeF (PBE, relaxed)
data_Rb2SnSeF
_cell_length_a 5.457
_cell_length_b 5.457
_cell_length_c 5.054
_cell_angle_alpha 90.00
_cell_angle_beta 90.00
_cell_angle_gamma 90.00
_space_group_name_H-M_alt 'P 4/m m m'
_space_group_IT_number 123
_space_group_name_Hall '-P 4 2'
loop_
_atom_site_label
_atom_site_type_symbol
_atom_site_fract_x
_atom_site_fract_y
_atom_site_fract_z
Rb1 Rb 0.000 0.500 0.000
Sn1 Sn 0.000 0.000 0.500
Se1 Se 0.500 0.500 0.500
F1 F 0.000 0.000 0.000
# D(E_F): 2.5 states/eV per cell

| no. | spin magnetization (μB per atom) | VASP energy (eV per atom) | ΔE_f (raw) (eV/atom) |
| --- | --- | --- | --- |
| 1 | 0.000 | -3.561 | -1.45 |
| 2 | 0.250 | -3.336 | -1.51 |
| 3 | 0.029 | -2.956 | -1.37 |
| 4 | 0.000 | -3.502 | -1.92 |
| 5 | 0.125 | -3.957 | -2.11 |
| 6 | 0.250 | -3.146 | -1.32 |
| 7 | 0.200 | -3.772 | -1.76 |
| 8 | 0.000 | -3.414 | -1.08 |
| 9 | 0.000 | -4.718 | -2.51 |
| 10 | 0.200 | -4.219 | -2.15 |
| 11 | 0.000 | -4.079 | -1.50 |
| 12 | 0.000 | -3.336 | -1.08 |